(1)
## TeAuS2Cl (PBE)

Data for crystalline TeAuS2Cl at its relaxed geometry.

It has space group P4/mmm (No. 123), with a = 4.926 Å, b = 4.926 Å, c = 4.781 Å, α = 90.00°, β = 90.00° and γ = 90.00°. The distinct sites, in fractional coordinates, are Te at (0.000, 0.000, 0.000), Au at (0.500, 0.500, 0.500), S at (0.000, 0.500, 0.500) and Cl at (0.500, 0.500, 0.000).

The calculation puts the uncorrected formation energy at 11.841 kcal/mol of atoms. The value obtained for the relative energy among the computed polymorphs is 0 meV/atom.

=====

(2)
## Si2TcBi (PBE)

Data for crystalline Si2TcBi at its relaxed geometry.

It has space group I-42d (No. 122), with a = 4.723 Å, b = 4.723 Å, c = 15.782 Å, α = 90.00°, β = 90.00° and γ = 90.00°. The distinct sites, in fractional coordinates, are Si at (0.107, 0.250, 0.125), Tc at (0.000, 0.000, 0.000) and Bi at (0.000, 0.000, 0.500).

The calculation puts the uncorrected formation energy at 8.755 kcal/mol of atoms.

=====

(3)
## RbTlHg2Rh (PBE)

Data for crystalline RbTlHg2Rh at its relaxed geometry.

It has space group P4/mmm (No. 123), with a = 5.355 Å, b = 5.355 Å, c = 5.807 Å, α = 90.00°, β = 90.00° and γ = 90.00°. The distinct sites, in fractional coordinates, are Rb at (0.000, 0.000, 0.000), Tl at (0.500, 0.500, 0.000), Hg at (0.000, 0.500, 0.500) and Rh at (0.000, 0.000, 0.500).

The value obtained for the relative energy among the computed polymorphs is 402 meV/atom. The calculation puts the formation energy at 240 meV/atom.

=====

(4)
## Ga2Fe2Te (PBE)

Data for crystalline Ga2Fe2Te at its relaxed geometry.

It has space group P4/mbm (No. 127), with a = 7.249 Å, b = 7.249 Å, c = 2.918 Å, α = 90.00°, β = 90.00° and γ = 90.00°. The distinct sites, in fractional coordinates, are Ga at (0.134, 0.366, 0.000), Fe at (0.159, 0.659, 0.500) and Te at (0.000, 0.000, 0.500).

The calculation puts the uncorrected formation energy at 4.083 kcal/mol of atoms.

=====

(5)
## Sc2Zn3Hg2 (PBE)

Data for crystalline Sc2Zn3Hg2 at its relaxed geometry.

It has space group C2/m (No. 12), with a = 10.258 Å, b = 4.381 Å, c = 6.507 Å, α = 90.00°, β = 111.90° and γ = 90.00°. The distinct sites, in fractional coordinates, are Sc at (0.144, 0.000, 0.260), Zn at (0.000, 0.500, 0.500), Zn at (0.089, 0.500, 0.921) and Hg at (0.158, 0.000, 0.729).

The calculation puts the formation energy at -251 meV/atom.

=====

(6)
## TaW2N (PBE)

Data for crystalline TaW2N at its relaxed geometry.

It has space group Cm (No. 8), with a = 13.295 Å, b = 3.017 Å, c = 2.826 Å, α = 90.00°, β = 92.87° and γ = 90.00°. The distinct sites, in fractional coordinates, are Ta at (0.000, 0.000, 0.000), W at (0.169, 0.500, 0.516), W at (0.308, 0.000, 0.922) and N at (0.437, 0.000, 0.487).

The calculation puts the uncorrected formation energy at -3.454 kcal/mol of atoms.